An optimized crystal structure of Li4Cr3PO8. Source: Alexandria, functional GGA+U.

Space-group type   C2/m (12)
Energy   -6.48 eV per atom
ρ   3.96 g/cm3
N(E_F)   0.100 states/eV/atom
M_tot   6.99 μB/f.u.

Cell lengths 5.932, 5.839, 5.888 Å; angles 119.92, 120.25, 90.00 degrees
Site moments in Bohr magnetons follow the coordinates.
Element x y z (fractional)
Cr 0.500 0.500 0.500  2.57
Cr 0.500 0.500 0.000  1.97
Cr 0.000 0.500 0.500  2.57
O 0.792 0.293 0.009  -0.02
O 0.783 0.707 0.991  -0.02
O 0.216 0.712 0.431  -0.03
O 0.254 0.270 0.509  0.01
O 0.208 0.707 0.991  -0.02
O 0.746 0.730 0.491  0.01
O 0.217 0.293 0.009  -0.02
O 0.784 0.288 0.569  -0.03
Li 0.500 0.000 0.000  -0.03
Li 0.500 0.000 0.500  -0.01
Li 0.000 0.000 0.000  0.00
Li 0.000 0.000 0.500  -0.01
P 0.000 0.500 0.000  -0.04